(1)
Ba3Ho2W, relaxed, DFT PBE; E = -3.682 eV per atom; symmetry = P-3m1 (164)
1.0
5.912 0.000 0.000
-2.956 5.120 0.000
0.000 0.000 7.383
Ba Ho W
3 2 1
Direct
0.000 0.000 0.000
0.333 0.667 0.361
0.667 0.333 0.639
0.667 0.333 0.152
0.333 0.667 0.848
0.000 0.000 0.500

***

(2)
Sr2AlNi, relaxed, DFT PBE; E = -2.954 eV per atom; symmetry = F-43m (216)
1.0
2.567 1.482 4.192
-2.567 1.482 4.192
0.000 -2.964 4.192
Al Ni Sr
1 1 2
Direct
0.500 0.500 0.500
0.750 0.750 0.750
0.000 0.000 0.000
0.250 0.250 0.250

***

(3)
Zr2BP, relaxed, DFT PBE; E = -8.236 eV per atom; symmetry = P6_3/mmc (194)
1.0
3.529 0.000 0.000
-1.764 3.056 0.000
0.000 0.000 12.469
B P Zr
2 2 4
Direct
0.000 0.000 0.000
0.000 0.000 0.500
0.667 0.333 0.250
0.333 0.667 0.750
0.333 0.667 0.110
0.333 0.667 0.390
0.667 0.333 0.610
0.667 0.333 0.890

***

(4)
KLiLu, relaxed, DFT PBE; E = -1.418 eV per atom; symmetry = F-43m (216)
1.0
-1.954 2.870 4.441
-5.456 -0.317 1.382
-1.571 -2.750 4.663
K Li Lu
1 1 1
Direct
0.000 0.000 0.000
0.250 0.250 0.250
0.750 0.750 0.750

***

(5)
GaFe3, relaxed, DFT PBE; E = -7.114 eV per atom; symmetry = P6_3/mmc (194)
1.0
5.175 0.000 0.000
-2.588 4.482 0.000
0.000 0.000 4.192
Fe Ga
6 2
Direct
0.160 0.319 0.250
0.160 0.840 0.250
0.681 0.840 0.250
0.319 0.160 0.750
0.840 0.160 0.750
0.840 0.681 0.750
0.667 0.333 0.250
0.333 0.667 0.750

***

(6)
Nd2TaBe2, relaxed, DFT PBE; E = -5.368 eV per atom; symmetry = Pbam (55)
1.0
-2.427 2.819 5.165
-6.462 -2.721 -1.551
0.958 -3.677 2.457
Be Nd Ta
4 4 2
Direct
0.612 0.120 0.000
0.112 0.380 0.000
0.888 0.620 0.000
0.388 0.880 0.000
0.313 0.184 0.500
0.813 0.316 0.500
0.187 0.684 0.500
0.687 0.816 0.500
0.000 0.000 0.000
0.500 0.500 0.000

***

(7)
Hf2Tc2O5, relaxed, DFT PBE; energy above the most stable polymorph in this dataset = 0.352 eV/atom; symmetry = P4/mmm (123)
1.0
-1.114 5.489 4.104
-3.276 0.652 -1.761
-1.778 -2.219 2.485
Hf O Tc
2 5 2
Direct
0.000 0.000 0.000
0.500 0.000 0.000
0.278 0.500 0.000
0.722 0.500 0.000
0.278 0.000 0.500
0.722 0.000 0.500
0.500 0.500 0.500
0.186 0.500 0.500
0.814 0.500 0.500

***

(8)
SmHfAg, relaxed, DFT PBE; formation energy = 1.0074 eV/atom; symmetry = F-43m (216)
1.0
1.290 -3.333 -3.288
-0.710 -4.716 0.915
-3.409 -2.459 -2.432
Ag Hf Sm
1 1 1
Direct
0.250 0.250 0.250
0.750 0.750 0.750
0.000 0.000 0.000

***

(9)
Zr2Ni3Mo4N3, relaxed, DFT PBE; E = -8.946 eV per atom; symmetry = C2/c (15)
1.0
4.589 -2.662 0.000
4.589 2.662 0.000
-3.041 0.000 12.779
Mo N Ni Zr
8 6 6 4
Direct
0.036 0.186 0.082
0.695 0.868 0.082
0.132 0.305 0.418
0.814 0.964 0.418
0.186 0.036 0.582
0.868 0.695 0.582
0.305 0.132 0.918
0.964 0.814 0.918
0.000 0.500 0.000
0.351 0.799 0.000
0.201 0.649 0.500
0.500 0.000 0.500
0.799 0.351 0.500
0.649 0.201 0.000
0.897 0.586 0.249
0.928 0.072 0.250
0.414 0.103 0.251
0.586 0.897 0.749
0.072 0.928 0.750
0.103 0.414 0.751
0.373 0.540 0.121
0.460 0.627 0.379
0.540 0.373 0.621
0.627 0.460 0.879

***

(10)
Fe11Co5, relaxed, DFT PBE; formation energy = -0.0545 eV/atom; symmetry = P4/mmm (123)
1.0
5.672 0.000 0.000
0.000 5.672 0.000
0.000 0.000 5.669
Co Fe
5 11
Direct
0.000 0.000 0.000
0.500 0.000 0.000
0.000 0.500 0.000
0.500 0.000 0.500
0.000 0.500 0.500
0.500 0.500 0.000
0.250 0.250 0.250
0.750 0.250 0.250
0.250 0.750 0.250
0.750 0.750 0.250
0.000 0.000 0.500
0.500 0.500 0.500
0.250 0.250 0.750
0.750 0.250 0.750
0.250 0.750 0.750
0.750 0.750 0.750

***

(11)
TlAgSnTe3, relaxed, DFT PBE; energy above the most stable polymorph in this dataset = 0.012 eV/atom; symmetry = Cmcm (63)
1.0
1.580 0.090 -7.068
-3.906 -3.169 5.211
-8.826 7.797 -1.874
Ag Sn Te Tl
2 2 6 2
Direct
0.597 0.403 0.250
0.403 0.597 0.750
0.000 0.000 0.000
0.000 0.000 0.500
0.657 0.343 0.025
0.958 0.042 0.250
0.657 0.343 0.475
0.343 0.657 0.525
0.042 0.958 0.750
0.343 0.657 0.975
0.271 0.729 0.250
0.729 0.271 0.750

***

(12)
InAgPd2, relaxed, DFT PBE; E = -4.263 eV per atom; symmetry = F-43m (216)
1.0
1.315 2.216 3.782
-2.026 -0.904 4.003
2.295 -2.226 3.275
Ag In Pd
1 1 2
Direct
0.250 0.250 0.250
0.500 0.500 0.500
0.000 0.000 0.000
0.750 0.750 0.750

***

(13)
YZnCuBi, relaxed, DFT PBE; energy above the most stable polymorph in this dataset = 0.094 eV/atom; symmetry = F-43m (216)
1.0
3.759 -2.087 2.580
-0.644 -1.227 4.819
-0.258 -4.823 1.346
Bi Cu Y Zn
1 1 1 1
Direct
0.000 0.000 0.000
0.750 0.750 0.750
0.250 0.250 0.250
0.500 0.500 0.500

***

(14)
RbLiHgO2, relaxed, DFT PBE; E = -3.655 eV per atom; symmetry = C2/m (12)
1.0
-4.085 1.272 -4.538
-1.502 -0.613 -6.022
-1.756 -6.699 5.456
Hg Li O Rb
2 2 4 2
Direct
0.067 0.067 0.197
0.933 0.933 0.803
0.343 0.343 0.056
0.657 0.657 0.944
0.179 0.179 0.065
0.510 0.510 0.306
0.490 0.490 0.694
0.821 0.821 0.935
0.848 0.848 0.361
0.152 0.152 0.639

***

(15)
TaGaNO, relaxed, DFT PBE; energy above the most stable polymorph in this dataset = 0.203 eV/atom; symmetry = Pca2_1 (29)
1.0
-2.736 0.556 -4.688
-2.357 -6.406 0.615
-4.109 1.762 2.607
Ga N O Ta
4 4 4 4
Direct
0.892 0.400 0.462
0.392 0.600 0.462
0.608 0.400 0.962
0.108 0.600 0.962
0.938 0.371 0.094
0.438 0.629 0.094
0.562 0.371 0.594
0.062 0.629 0.594
0.417 0.198 0.130
0.917 0.802 0.130
0.083 0.198 0.630
0.583 0.802 0.630
0.070 0.075 0.015
0.570 0.925 0.015
0.430 0.075 0.515
0.930 0.925 0.515

***

(16)
Nb2ZnAg, relaxed, DFT PBE; formation energy = 0.4300 eV/atom; symmetry = F-43m (216)
1.0
-1.976 -4.103 0.834
-4.057 -1.058 -1.965
-0.189 -3.200 -3.341
Ag Nb Zn
1 2 1
Direct
0.250 0.250 0.250
0.000 0.000 0.000
0.750 0.750 0.750
0.500 0.500 0.500

***

(17)
Ac2ZrAl, relaxed, DFT PBE; E = -5.027 eV per atom; symmetry = I4/mmm (139)
1.0
-2.629 2.629 8.941
2.629 -2.629 8.941
2.629 2.629 -8.941
Ac Al Zr
4 2 2
Direct
0.352 0.352 0.000
0.648 0.648 0.000
0.500 0.000 0.500
0.000 0.500 0.500
0.750 0.250 0.500
0.250 0.750 0.500
0.149 0.149 0.000
0.851 0.851 0.000

***

(18)
CoGe, relaxed, DFT PBE; E = -5.897 eV per atom; symmetry = Pm-3m (221)
1.0
2.925 0.000 0.000
0.000 2.925 0.000
0.000 0.000 2.925
Co Ge
1 1
Direct
0.500 0.500 0.500
0.000 0.000 0.000

***

(19)
Cu3Ag37, relaxed, DFT PBE; formation energy = 0.0215 eV/atom; symmetry = P1 (1)
1.0
6.512 0.000 0.000
3.244 9.999 0.000
3.248 1.058 10.774
Ag Cu
37 3
Direct
0.522 0.129 0.023
0.052 0.253 0.048
0.573 0.375 0.073
0.102 0.499 0.099
0.626 0.625 0.124
0.150 0.749 0.151
0.675 0.875 0.174
0.200 0.998 0.201
0.725 0.125 0.226
0.249 0.249 0.253
0.771 0.377 0.278
0.300 0.500 0.304
0.817 0.624 0.332
0.355 0.746 0.356
0.873 0.871 0.379
0.404 0.996 0.403
0.924 0.123 0.427
0.449 0.254 0.452
0.967 0.376 0.477
0.025 0.624 0.526
0.083 0.873 0.575
0.600 0.997 0.600
0.123 0.128 0.626
0.642 0.256 0.651
0.179 0.379 0.675
0.693 0.502 0.696
0.236 0.623 0.719
0.750 0.748 0.746
0.281 0.873 0.771
0.800 0.000 0.798
0.323 0.130 0.825
0.840 0.255 0.849
0.910 0.500 0.897
0.427 0.620 0.923
0.953 0.750 0.947
0.475 0.875 0.973
0.000 0.002 0.998
0.500 0.504 0.501
0.551 0.745 0.550
0.374 0.376 0.875

***

(20)
PaCuW, relaxed, DFT PBE; energy above the most stable polymorph in this dataset = 0.589 eV/atom; formation energy = 1.3109 eV/atom; symmetry = F-43m (216)
1.0
-2.531 -1.189 -3.507
-3.731 2.300 -0.956
-0.153 2.612 -3.644
Cu Pa W
1 1 1
Direct
0.250 0.250 0.250
0.000 0.000 0.000
0.750 0.750 0.750